[1]
VASP calculation (GGA+U) on an optimized crystal structure of AlIn2MoF.

The space group is P4/mmm (No. 123) and the conventional cell measures 5.2639, 5.2639 and 5.3973 Å, with angles of 90.00, 90.00 and 90.00 degrees. The distinct sites, in fractional coordinates, are Al at (0.0000, 0.0000, 0.0000), In at (0.0000, 0.5000, 0.0000), Mo at (0.0000, 0.0000, 0.5000) and F at (0.5000, 0.5000, 0.5000).

The total energy is -16.2 eV for the cell shown.

***

[2]
VASP calculation (GGA+U) on an optimized crystal structure of AlInMoF6.

The space group is C2 (No. 5) and the conventional cell measures 5.6011, 9.6529 and 5.7682 Å, with angles of 90.00, 90.05 and 90.00 degrees. The distinct sites, in fractional coordinates, are Al at (0.0000, 0.0000, 0.0000), In at (0.0000, 0.3310, 0.5000), Mo at (0.0000, 0.6673, 0.0000), F at (0.1243, 0.8589, 0.8206), F at (0.1401, 0.1319, 0.8169) and F at (0.2227, 0.5056, 0.8265).

The total energy is -94.6 eV for the cell shown.